Record 1
Density functional theory data (PBE) for a relaxed structure of SI2BrO.

Energy above the most stable polymorph in this dataset   0 meV per atom

Unit cell a=6.083 b=6.083 c=3.475 alpha=90.00 beta=90.00 gamma=90.00
Atoms (fractional coordinates):
1 S 0.000 0.000 0.000
2 O 0.000 0.000 0.500
3 Br 0.500 0.500 0.500
4 I 0.000 0.500 0.000
5 I 0.500 0.000 0.000


Record 2
Density functional theory data (PBE) for a relaxed structure of SeIBrO2.

Energy above the most stable polymorph in this dataset   413 meV per atom

Unit cell a=3.966 b=3.966 c=8.070 alpha=90.00 beta=90.00 gamma=90.00
Atoms (fractional coordinates):
1 O 0.500 0.000 0.000
2 I 0.000 0.000 0.500
3 Se 0.500 0.500 0.500
4 Br 0.000 0.000 0.000
5 O 0.000 0.500 0.000


Record 3
Density functional theory data (PBE) for a relaxed structure of SeIBrO2.

Energy above the most stable polymorph in this dataset   0 meV per atom

Unit cell a=3.993 b=3.993 c=7.747 alpha=90.00 beta=90.00 gamma=90.00
Atoms (fractional coordinates):
1 O 0.500 0.000 0.000
2 O 0.000 0.500 0.000
3 Br 0.500 0.500 0.500
4 I 0.000 0.000 0.500
5 Se 0.000 0.000 0.000


Record 4
Density functional theory data (PBE) for a relaxed structure of SmIBrO4.

Uncorrected energy   -5.2622 eV/atom

Unit cell a=6.600 b=6.600 c=6.633 alpha=92.60 beta=92.60 gamma=64.13
Atoms (fractional coordinates):
1 I 0.624 0.624 0.664
2 O 0.513 0.133 0.153
3 Br 0.943 0.943 0.839
4 O 0.487 0.867 0.847
5 Br 0.057 0.057 0.161
6 O 0.456 0.456 0.757
7 Sm 0.268 0.268 0.833
8 O 0.544 0.544 0.243
9 O 0.133 0.513 0.153
10 O 0.867 0.487 0.847
11 I 0.376 0.376 0.336
12 Sm 0.732 0.732 0.167
13 O 0.225 0.225 0.483
14 O 0.775 0.775 0.517